Here is an optimized crystal structure of NiMoOs2 from Alexandria via LeMat-Bulk. Energies are from GGA-PBEsol.

abc: 2.694 4.544 4.704
angles: 98.89 90.00 107.24
Sites, in units of the cell vectors:
Ni (0.500, 0.000, 0.000)
Os (0.248, 0.496, 0.234)
Mo (0.000, 0.000, 0.500)
Os (0.752, 0.504, 0.766)

## Properties
For the total energy, the calculation gives -42.0 eV per cell. As for the energy above the most stable polymorph in this dataset: 10 meV per atom. Its space-group type is C2/m, No. 12. For the formation energy, the calculation gives 0.0904 eV per atom.